(1)
Entry from Alexandria: a relaxed NbIn3Rh4 crystal (GGA-PBE).

Lattice parameters (Å, degrees): 7.814 7.814 7.814 147.92 147.92 46.00
Positions (direct):
Nb (0.000, 0.000, 0.000)
In (0.251, 0.251, 0.000)
In (0.500, 0.500, 0.000)
In (0.749, 0.749, 0.000)
Rh (0.120, 0.620, 0.500)
Rh (0.380, 0.880, 0.500)
Rh (0.620, 0.120, 0.500)
Rh (0.880, 0.380, 0.500)

As for the formation energy: -0.4396 eV per atom. As for the crystal system: tetragonal. The symmetry is No. 139.


(2)
Entry from Alexandria: a relaxed NbInRh crystal (GGA-PBE).

Lattice parameters (Å, degrees): 4.442 4.442 7.661 106.78 106.78 60.11
Positions (direct):
Nb (0.120, 0.120, 0.361)
Nb (0.880, 0.880, 0.639)
In (0.373, 0.373, 0.120)
In (0.627, 0.627, 0.880)
Rh (0.237, 0.237, 0.710)
Rh (0.763, 0.763, 0.290)

As for the formation energy: -0.1910 eV per atom. As for the crystal system: monoclinic. The symmetry is No. 12.


(3)
Entry from Alexandria: a relaxed NbIn2Rh crystal (GGA-PBE).

Lattice parameters (Å, degrees): 3.150 3.150 7.425 90.00 90.00 90.00
Positions (direct):
Nb (0.000, 0.000, 0.000)
In (0.500, 0.500, 0.274)
In (0.500, 0.500, 0.726)
Rh (0.000, 0.000, 0.500)

As for the formation energy: -0.1366 eV per atom. As for the crystal system: tetragonal. The symmetry is No. 123.


(4)
Entry from Alexandria: a relaxed NbIn2RuRh crystal (GGA-PBE).

Lattice parameters (Å, degrees): 4.912 4.912 4.672 90.00 90.00 90.00
Positions (direct):
Nb (0.000, 0.000, 0.000)
In (0.000, 0.500, 0.500)
In (0.500, 0.000, 0.500)
Ru (0.500, 0.500, 0.000)
Rh (0.500, 0.500, 0.500)

As for the formation energy: 1.0916 eV per atom. As for the crystal system: tetragonal. The symmetry is No. 123.


(5)
Entry from Alexandria: a relaxed Nb2In2RhSe6 crystal (GGA-PBE).

Lattice parameters (Å, degrees): 6.304 6.304 8.598 95.17 95.17 123.27
Positions (direct):
Nb (0.133, 0.867, 0.000)
Nb (0.867, 0.133, 0.000)
In (0.224, 0.776, 0.500)
In (0.776, 0.224, 0.500)
Rh (0.500, 0.500, 0.000)
Se (0.128, 0.128, 0.787)
Se (0.222, 0.566, 0.173)
Se (0.434, 0.778, 0.827)
Se (0.566, 0.222, 0.173)
Se (0.778, 0.434, 0.827)
Se (0.872, 0.872, 0.213)

As for the crystal system: monoclinic. As for the formation energy without anion corrections: -52.2 kJ per mole of atoms. The symmetry is No. 12.


(6)
Entry from Alexandria: a relaxed NbVInRh crystal (GGA-PBE).

Lattice parameters (Å, degrees): 4.555 4.555 4.555 60.00 60.00 60.00
Positions (direct):
Nb (0.000, 0.000, 0.000)
V (0.250, 0.250, 0.250)
In (0.500, 0.500, 0.500)
Rh (0.750, 0.750, 0.750)

As for the formation energy: -0.1055 eV per atom. As for the crystal system: cubic. The symmetry is No. 216.


N(E_F) per entry: 1.87; 3.98; 2.10; 5.89; 3.60; 3.81 states/eV per cell